LiFePbO3 | PBE+U | optimized geometry

Lattice parameters (Å, degrees): 4.2113 4.2113 4.2220 95.37 95.37 84.65
Positions (direct):
Li: 0.0000 0.0000 0.0000
Fe: 0.2988 0.2988 0.7015
Pb: 0.6729 0.6729 0.3271
O: 0.2948 0.2948 0.2066
O: 0.2950 0.7939 0.7054
O: 0.7939 0.2950 0.7054

Properties
The calculation puts the mass density at 7.14 g/cm³. The total magnetization comes out at 5.0 μB/cell. The space-group type is No. 8. The energy above the most stable polymorph in this dataset is 136 meV per atom.